# Ba2TbOsN4, relaxed, DFT GGA-PBE
# Space-group type: No. 70
# Energy relative to the elements, uncorrected in eV per atom: -0.182
# ρ in g cm⁻³: 5.81
data_Ba2TbOsN4
_cell_length_a 5.962
_cell_length_b 6.821
_cell_length_c 11.034
_cell_angle_alpha 83.22
_cell_angle_beta 74.33
_cell_angle_gamma 64.09
_space_group_name_H-M_alt 'P 1'
_space_group_IT_number 1
loop_
_space_group_symop_operation_xyz
'x,y,z'
loop_
_atom_site_label
_atom_site_fract_x
_atom_site_fract_y
_atom_site_fract_z
_atom_site_occupancy
Ba1 0.187 0.000 0.625 1
Ba2 0.813 0.000 0.375 1
Ba3 0.563 0.500 0.875 1
Ba4 0.937 0.500 0.125 1
Tb1 0.750 0.500 0.500 1
Tb2 0.000 0.000 0.000 1
Os1 0.250 0.500 0.500 1
Os2 0.500 0.000 0.000 1
N1 0.356 0.804 0.073 1
N2 0.233 0.196 0.927 1
N3 0.840 0.804 0.927 1
N4 0.571 0.196 0.073 1
N5 0.394 0.696 0.427 1
N6 0.517 0.304 0.573 1
N7 0.910 0.696 0.573 1
N8 0.179 0.304 0.427 1